[1]
Here is a relaxed structure of NaBPd3 from Alexandria via LeMat-Bulk. Energies are from PBE.

The structure belongs to space group Fd-3m (No. 227, origin choice 2); the cell edges are 11.2099, 11.2099 and 11.2099 Å and the angles 90.00°, 90.00° and 90.00°. The distinct sites, in fractional coordinates, are Na at (0.0000, 0.0000, 0.0000), B at (0.0000, 0.0000, 0.5000) and Pd at (0.0629, 0.3750, 0.8750).

As for the spin magnetization: 0.0 Bohr magnetons per cell. The formation energy from the elements comes out at -0.88 eV per formula unit.

[2]
Here is a relaxed structure of NaBPd3 from Alexandria via LeMat-Bulk. Energies are from PBE.

The structure belongs to space group P2_1/m (No. 11); the cell edges are 5.1498, 5.7015 and 5.1993 Å and the angles 90.00°, 94.20° and 90.00°. The distinct sites, in fractional coordinates, are Na at (0.1336, 0.2500, 0.1972), B at (0.3828, 0.7500, 0.0394), Pd at (0.1314, 0.7500, 0.3230) and Pd at (0.3759, 0.0018, 0.7440).

As for the spin magnetization: 0.0 Bohr magnetons per cell. The formation energy from the elements comes out at -1.02 eV per formula unit.

[3]
Here is a relaxed structure of Na3BPd from Alexandria via LeMat-Bulk. Energies are from PBE.

The structure belongs to space group Pm-3m (No. 221); the cell edges are 5.3155, 5.3155 and 5.3155 Å and the angles 90.00°, 90.00° and 90.00°. The distinct sites, in fractional coordinates, are Na at (0.0000, 0.0000, 0.5000), B at (0.5000, 0.5000, 0.5000) and Pd at (0.0000, 0.0000, 0.0000).

As for the spin magnetization: 0.0 Bohr magnetons per cell. The value obtained for the energy above the most stable polymorph in this dataset is 144.2 meV per atom. The formation energy from the elements comes out at 5.33 eV per formula unit.

[4]
Here is a relaxed structure of NaB4Pd2 from Alexandria via LeMat-Bulk. Energies are from PBE.

The structure belongs to space group I4/mmm (No. 139); the cell edges are 4.2669, 4.2669 and 11.5765 Å and the angles 90.00°, 90.00° and 90.00°. The distinct sites, in fractional coordinates, are Na at (0.0000, 0.0000, 0.0000), B at (0.0000, 0.0000, 0.2241), B at (0.0000, 0.5000, 0.0000) and Pd at (0.0000, 0.0000, 0.3902).

As for the spin magnetization: 0.0 Bohr magnetons per cell. The formation energy from the elements comes out at 12.88 eV per formula unit.

[5]
Here is a relaxed structure of NaBPd3 from Alexandria via LeMat-Bulk. Energies are from PBE.

The structure belongs to space group P6_3/mmc (No. 194); the cell edges are 3.5190, 3.5190 and 16.9761 Å and the angles 90.00°, 90.00° and 120.00°. The distinct sites, in fractional coordinates, are Na at (0.0000, 0.0000, 0.0000), B at (0.3333, 0.6667, 0.2500), Pd at (0.0000, 0.0000, 0.2500) and Pd at (0.3333, 0.6667, 0.1305).

As for the spin magnetization: 0.0 Bohr magnetons per cell. The formation energy from the elements comes out at 0.75 eV per formula unit.

[6]
Here is a relaxed structure of NaBPd3 from Alexandria via LeMat-Bulk. Energies are from PBE.

The structure belongs to space group Amm2 (No. 38); the cell edges are 2.8766, 5.8112 and 9.5513 Å and the angles 90.00°, 90.00° and 90.00°. The distinct sites, in fractional coordinates, are Na at (0.0000, 0.0000, 0.0000), B at (0.5000, 0.0000, 0.3884), Pd at (0.0000, 0.0000, 0.5419) and Pd at (0.5000, 0.2446, 0.7513).

As for the spin magnetization: 0.0 Bohr magnetons per cell. The formation energy from the elements comes out at -0.49 eV per formula unit.

[7]
Here is a relaxed structure of NaBPd3 from Alexandria via LeMat-Bulk. Energies are from PBE.

The structure belongs to space group R-3 (No. 148, hexagonal axes); the cell edges are 5.0420, 5.0420 and 23.0619 Å and the angles 90.00°, 90.00° and 120.00°. The distinct sites, in fractional coordinates, are Na at (0.0000, 0.0000, 0.1686), B at (0.0000, 0.0000, 0.3328) and Pd at (0.0006, 0.3309, 0.0552).

As for the spin magnetization: 0.0 Bohr magnetons per cell. The formation energy from the elements comes out at -0.65 eV per formula unit.

[8]
Here is a relaxed structure of NaB3Pd from Alexandria via LeMat-Bulk. Energies are from PBE.

The structure belongs to space group Pm-3m (No. 221); the cell edges are 4.2573, 4.2573 and 4.2573 Å and the angles 90.00°, 90.00° and 90.00°. The distinct sites, in fractional coordinates, are Na at (0.0000, 0.0000, 0.0000), B at (0.0000, 0.0000, 0.5000) and Pd at (0.5000, 0.5000, 0.5000).

As for the spin magnetization: 0.0 Bohr magnetons per cell. The value obtained for the energy above the most stable polymorph in this dataset is 1590.9 meV per atom. The formation energy from the elements comes out at 14.16 eV per formula unit.

[9]
Here is a relaxed structure of NaBPd3 from Alexandria via LeMat-Bulk. Energies are from PBE.

The structure belongs to space group Pm-3m (No. 221); the cell edges are 4.5941, 4.5941 and 4.5941 Å and the angles 90.00°, 90.00° and 90.00°. The distinct sites, in fractional coordinates, are Na at (0.0000, 0.0000, 0.0000), B at (0.5000, 0.5000, 0.5000) and Pd at (0.0000, 0.0000, 0.5000).

As for the spin magnetization: 0.0 Bohr magnetons per cell. The formation energy from the elements comes out at 8.96 eV per formula unit.

[10]
Here is a relaxed structure of Na2BPd2 from Alexandria via LeMat-Bulk. Energies are from PBE.

The structure belongs to space group P4/mbm (No. 127); the cell edges are 5.7148, 5.7148 and 5.0257 Å and the angles 90.00°, 90.00° and 90.00°. The distinct sites, in fractional coordinates, are Na at (0.1725, 0.3275, 0.0000), B at (0.0000, 0.0000, 0.5000) and Pd at (0.1692, 0.6692, 0.5000).

As for the spin magnetization: 0.0 Bohr magnetons per cell. The value obtained for the energy above the most stable polymorph in this dataset is 0.0 meV per atom. The formation energy from the elements comes out at -0.86 eV per formula unit.

[11]
Here is a relaxed structure of NaBPd3 from Alexandria via LeMat-Bulk. Energies are from PBE.

The structure belongs to space group I-4m2 (No. 119); the cell edges are 5.1970, 5.1970 and 13.1651 Å and the angles 90.00°, 90.00° and 90.00°. The distinct sites, in fractional coordinates, are Na at (0.0000, 0.0000, 0.1594), B at (0.0000, 0.0000, 0.5000), B at (0.0000, 0.5000, 0.2500), Pd at (0.0000, 0.2493, 0.3717) and Pd at (0.0000, 0.5000, 0.5547).

As for the spin magnetization: 0.0 Bohr magnetons per cell. The formation energy from the elements comes out at 0.52 eV per formula unit.

[12]
Here is a relaxed structure of NaBPd3 from Alexandria via LeMat-Bulk. Energies are from PBE.

The structure belongs to space group Cmcm (No. 63); the cell edges are 5.2390, 14.4962 and 5.3365 Å and the angles 90.00°, 90.00° and 90.00°. The distinct sites, in fractional coordinates, are Na at (0.0000, 0.1748, 0.2500), B at (0.0000, 0.4560, 0.2500), Pd at (0.0000, 0.0000, 0.0000) and Pd at (0.2479, 0.1431, 0.7500).

As for the spin magnetization: 0.0 Bohr magnetons per cell. The formation energy from the elements comes out at 2.71 eV per formula unit.